ErGa4CoIr2 | PBE | optimized geometry

```
ErGa4CoIr2
1.0
4.207 0.000 0.000
2.104 3.644 0.000
2.104 1.215 8.374
Ir Ga Er Co
2 4 1 1
direct
0.237 0.237 0.289
0.763 0.763 0.711
0.399 0.399 0.802
0.601 0.601 0.198
0.867 0.867 0.400
0.133 0.133 0.600
0.000 0.000 0.000
0.500 0.500 0.500
```

**Crystal system**: trigonal
**Space group**: No. 166
**Theoretical density**: 11.51 g/cm3
**Final energy**: -5.692 eV/atom
**D(E_F)**: 3.2 states/eV per cell

La2ErGa12Co3 | PBE | optimized geometry

```
La2ErGa12Co3
1.0
7.957 -0.332 -0.236
3.641 7.083 -0.236
3.641 2.119 6.763
Co Ga La Er
3 12 2 1
direct
0.500 0.000 0.000
0.000 0.500 0.000
0.000 0.000 0.500
0.162 0.538 0.162
0.838 0.462 0.838
0.538 0.162 0.162
0.726 0.091 0.726
0.909 0.274 0.274
0.162 0.162 0.538
0.462 0.838 0.838
0.838 0.838 0.462
0.091 0.726 0.726
0.726 0.726 0.091
0.274 0.274 0.909
0.274 0.909 0.274
0.417 0.417 0.417
0.583 0.583 0.583
0.000 0.000 0.000
```

**Crystal system**: trigonal
**Space group**: No. 166
**Theoretical density**: 6.09 g/cm3
**Final energy**: -4.087 eV/atom
**D(E_F)**: 14.7 states/eV per cell

LiErGaCo | PBE | optimized geometry

```
LiErGaCo
1.0
4.473 0.000 0.000
2.237 3.874 0.000
2.237 1.291 3.652
Ga Li Co Er
1 1 1 1
direct
0.250 0.250 0.250
0.500 0.500 0.500
0.000 0.000 0.000
0.750 0.750 0.750
```

**Crystal system**: cubic
**Space group**: No. 216
**Theoretical density**: 7.95 g/cm3
**Final energy**: -4.403 eV/atom
**D(E_F)**: 4.4 states/eV per cell

LiEr2Ga6Co | PBE | optimized geometry

```
LiEr2Ga6Co
1.0
6.431 -0.025 0.016
-0.025 6.412 0.018
3.215 3.206 4.536
Er Li Ga Co
2 1 6 1
direct
0.711 0.288 0.500
0.289 0.712 0.500
0.500 0.500 0.000
0.779 0.779 0.504
0.252 0.747 0.001
0.221 0.221 0.496
0.778 0.778 0.939
0.748 0.253 0.999
0.222 0.222 0.061
0.000 0.000 0.000
```

**Crystal system**: triclinic
**Space group**: No. 2
**Theoretical density**: 7.30 g/cm3
**Final energy**: -3.847 eV/atom
**D(E_F)**: 2.6 states/eV per cell

ErLuGaCo | PBE | optimized geometry

```
ErLuGaCo
1.0
-1.081 -4.416 1.637
2.396 -1.831 3.776
-2.230 -0.521 4.255
Ga Er Co Lu
1 1 1 1
direct
0.250 0.250 0.250
0.000 0.000 0.000
0.750 0.750 0.750
0.500 0.500 0.500
```

**Crystal system**: cubic
**Space group**: No. 216
**Theoretical density**: 9.80 g/cm3
**Final energy**: -5.167 eV/atom
**D(E_F)**: 2.9 states/eV per cell

ErMgGaCo | PBE | optimized geometry

```
ErMgGaCo
1.0
-2.540 2.737 2.835
-2.424 -1.897 3.536
1.373 0.704 4.427
Co Er Ga Mg
1 1 1 1
direct
0.750 0.750 0.750
0.000 0.000 0.000
0.250 0.250 0.250
0.500 0.500 0.500
```

**Crystal system**: cubic
**Space group**: No. 216
**Theoretical density**: 7.30 g/cm3
**Final energy**: -4.262 eV/atom
**D(E_F)**: 2.1 states/eV per cell

Er2MnGa2Co5 | PBE | optimized geometry

```
Er2MnGa2Co5
1.0
-0.969 -3.014 -1.056
8.331 -3.570 2.548
-3.431 -1.896 8.560
Co Ga Mn Er
10 4 2 4
direct
0.500 0.060 0.803
0.500 0.000 0.500
0.500 0.197 0.060
0.500 0.560 0.697
0.500 0.500 0.000
0.500 0.440 0.303
0.500 0.303 0.560
0.500 0.697 0.440
0.500 0.940 0.197
0.500 0.803 0.940
0.000 0.125 0.625
0.000 0.875 0.375
0.000 0.375 0.125
0.000 0.625 0.875
0.000 0.000 0.000
0.000 0.500 0.500
0.000 0.173 0.327
0.000 0.827 0.673
0.000 0.327 0.827
0.000 0.673 0.173
```

**Crystal system**: tetragonal
**Space group**: No. 127
**Theoretical density**: 9.25 g/cm3
**Final energy**: -6.130 eV/atom
**D(E_F)**: 22.5 states/eV per cell

Er2MnGa5Co2 | PBE | optimized geometry

```
Er2MnGa5Co2
1.0
-0.751 -2.372 -3.084
4.808 -6.704 3.986
-7.604 -2.987 4.148
Ga Mn Er Co
10 2 4 4
direct
0.500 0.437 0.292
0.500 0.000 0.500
0.500 0.500 0.000
0.500 0.708 0.437
0.500 0.063 0.792
0.500 0.937 0.208
0.500 0.792 0.937
0.500 0.292 0.563
0.500 0.563 0.708
0.500 0.208 0.063
0.000 0.000 0.000
0.000 0.500 0.500
0.000 0.820 0.680
0.000 0.680 0.180
0.000 0.180 0.320
0.000 0.320 0.820
0.000 0.385 0.115
0.000 0.615 0.885
0.000 0.115 0.615
0.000 0.885 0.385
```

**Crystal system**: tetragonal
**Space group**: No. 127
**Theoretical density**: 8.54 g/cm3
**Final energy**: -5.147 eV/atom
**D(E_F)**: 11.6 states/eV per cell

NdErGaCo | PBE | optimized geometry

```
NdErGaCo
1.0
4.992 0.000 0.000
2.496 4.323 0.000
2.496 1.441 4.076
Ga Nd Co Er
1 1 1 1
direct
0.500 0.500 0.500
0.250 0.250 0.250
0.000 0.000 0.000
0.750 0.750 0.750
```

**Crystal system**: cubic
**Space group**: No. 216
**Theoretical density**: 8.31 g/cm3
**Final energy**: -5.126 eV/atom
**D(E_F)**: 2.7 states/eV per cell

Er2Ga4Co3Ni | PBE | optimized geometry

```
Er2Ga4Co3Ni
1.0
-1.185 -1.122 -3.662
3.392 -2.087 -0.459
-4.417 -8.036 3.891
Ga Co Ni Er
4 3 1 2
direct
0.500 0.500 0.000
0.000 0.000 0.000
0.000 0.500 0.372
0.500 0.000 0.628
0.000 0.000 0.500
0.000 0.500 0.136
0.500 0.000 0.864
0.500 0.500 0.500
0.000 0.500 0.747
0.500 0.000 0.253
```

**Crystal system**: tetragonal
**Space group**: No. 115
**Theoretical density**: 8.80 g/cm3
**Final energy**: -5.273 eV/atom
**D(E_F)**: 6.6 states/eV per cell

ErGa3CoNi | PBE | optimized geometry

```
ErGa3CoNi
1.0
-0.728 2.222 4.766
0.407 -7.037 3.343
4.849 4.058 -1.152
Er Ga Co Ni
2 6 2 2
direct
0.750 0.303 0.605
0.250 0.697 0.395
0.500 0.744 0.000
0.500 0.256 0.000
0.250 0.188 0.376
0.000 0.256 0.000
0.750 0.812 0.624
0.000 0.744 0.000
0.750 0.579 0.159
0.250 0.421 0.841
0.750 0.043 0.085
0.250 0.957 0.915
```

**Crystal system**: orthorhombic
**Space group**: No. 63
**Theoretical density**: 7.76 g/cm3
**Final energy**: -4.701 eV/atom
**D(E_F)**: 6.3 states/eV per cell

ErGa2CoNi | PBE | optimized geometry

```
ErGa2CoNi
1.0
-1.966 3.260 1.147
-3.366 -1.507 -1.485
1.664 -3.059 4.656
Ga Co Er Ni
2 1 1 1
direct
0.375 0.375 0.750
0.625 0.625 0.250
0.750 0.250 0.500
0.000 0.000 0.000
0.250 0.750 0.500
```

**Crystal system**: tetragonal
**Space group**: No. 119
**Theoretical density**: 8.76 g/cm3
**Final energy**: -5.178 eV/atom
**D(E_F)**: 3.0 states/eV per cell

Er2Ga5Co2Ni | PBE | optimized geometry

```
Er2Ga5Co2Ni
1.0
3.800 0.000 0.000
0.000 9.243 0.000
0.000 0.000 9.243
Ga Co Er Ni
10 4 4 2
direct
0.500 0.943 0.200
0.500 0.000 0.500
0.500 0.443 0.300
0.500 0.700 0.443
0.500 0.800 0.943
0.500 0.300 0.557
0.500 0.057 0.800
0.500 0.557 0.700
0.500 0.200 0.057
0.500 0.500 0.000
0.000 0.886 0.386
0.000 0.614 0.886
0.000 0.386 0.114
0.000 0.114 0.614
0.000 0.682 0.182
0.000 0.182 0.318
0.000 0.818 0.682
0.000 0.318 0.818
0.000 0.000 0.000
0.000 0.500 0.500
```

**Crystal system**: tetragonal
**Space group**: No. 127
**Theoretical density**: 8.79 g/cm3
**Final energy**: -4.816 eV/atom
**D(E_F)**: 16.0 states/eV per cell

Er2Ga4CoNi3 | PBE | optimized geometry

```
Er2Ga4CoNi3
1.0
3.964 0.000 0.000
0.000 3.964 0.000
0.000 0.000 10.240
Ni Er Co Ga
3 2 1 4
direct
0.000 0.000 0.500
0.000 0.500 0.139
0.500 0.000 0.861
0.000 0.500 0.748
0.500 0.000 0.252
0.500 0.500 0.500
0.500 0.500 0.000
0.500 0.000 0.629
0.000 0.500 0.371
0.000 0.000 0.000
```

**Crystal system**: tetragonal
**Space group**: No. 115
**Theoretical density**: 8.75 g/cm3
**Final energy**: -5.104 eV/atom
**D(E_F)**: 6.8 states/eV per cell

Er2GaCo2Ni5 | PBE | optimized geometry

```
Er2GaCo2Ni5
1.0
3.726 0.000 0.000
0.000 8.708 0.000
0.000 0.000 8.708
Er Ni Co Ga
4 10 4 2
direct
0.000 0.176 0.324
0.000 0.676 0.176
0.000 0.824 0.676
0.000 0.324 0.824
0.500 0.000 0.500
0.500 0.063 0.794
0.500 0.563 0.706
0.500 0.794 0.937
0.500 0.706 0.437
0.500 0.294 0.563
0.500 0.437 0.294
0.500 0.206 0.063
0.500 0.500 0.000
0.500 0.937 0.206
0.000 0.878 0.378
0.000 0.622 0.878
0.000 0.122 0.622
0.000 0.378 0.122
0.000 0.000 0.000
0.000 0.500 0.500
```

**Crystal system**: tetragonal
**Space group**: No. 127
**Theoretical density**: 9.59 g/cm3
**Final energy**: -5.783 eV/atom
**D(E_F)**: 27.0 states/eV per cell

ErGa4CoNi2 | PBE | optimized geometry

```
ErGa4CoNi2
1.0
4.061 0.000 0.000
2.031 3.517 0.000
2.031 1.172 8.528
Ga Ni Co Er
4 2 1 1
direct
0.133 0.133 0.601
0.867 0.867 0.399
0.403 0.403 0.792
0.597 0.597 0.208
0.767 0.767 0.698
0.233 0.233 0.302
0.500 0.500 0.500
0.000 0.000 0.000
```

**Crystal system**: trigonal
**Space group**: No. 166
**Theoretical density**: 8.48 g/cm3
**Final energy**: -4.854 eV/atom
**D(E_F)**: 5.4 states/eV per cell

ErGa3CoOs | PBE | optimized geometry

```
ErGa3CoOs
1.0
-0.767 -3.030 -4.552
3.843 -5.909 3.286
-6.367 1.148 0.308
Co Ga Er Os
2 6 2 2
direct
0.250 0.967 0.934
0.750 0.033 0.066
0.250 0.188 0.376
0.000 0.752 0.000
0.000 0.248 0.000
0.500 0.248 0.000
0.750 0.812 0.624
0.500 0.752 0.000
0.750 0.291 0.583
0.250 0.709 0.417
0.250 0.420 0.839
0.750 0.580 0.161
```

**Crystal system**: orthorhombic
**Space group**: No. 63
**Theoretical density**: 9.34 g/cm3
**Final energy**: -5.517 eV/atom
**D(E_F)**: 5.5 states/eV per cell

Er2Ga6CoPd | PBE | optimized geometry

```
Er2Ga6CoPd
1.0
-2.126 -2.286 5.780
1.807 -6.072 -1.736
4.045 -3.452 3.856
Ga Pd Co Er
6 1 1 2
direct
0.242 0.242 0.516
0.758 0.758 0.000
0.758 0.242 0.000
0.758 0.758 0.484
0.242 0.758 0.000
0.242 0.242 0.000
0.500 0.500 0.000
0.000 0.000 0.000
0.750 0.250 0.500
0.250 0.750 0.500
```

**Crystal system**: cubic
**Space group**: No. 225
**Theoretical density**: 7.61 g/cm3
**Final energy**: -4.209 eV/atom
**D(E_F)**: 7.1 states/eV per cell

ErGa3CoPd | PBE | optimized geometry

```
ErGa3CoPd
1.0
5.238 0.000 0.000
0.000 8.116 0.000
0.000 -4.058 5.278
Er Co Ga Pd
2 2 6 2
direct
0.750 0.296 0.593
0.250 0.704 0.407
0.750 0.055 0.110
0.250 0.945 0.890
0.000 0.758 0.000
0.000 0.242 0.000
0.500 0.242 0.000
0.250 0.170 0.341
0.500 0.758 0.000
0.750 0.830 0.659
0.750 0.584 0.167
0.250 0.416 0.833
```

**Crystal system**: orthorhombic
**Space group**: No. 63
**Theoretical density**: 8.02 g/cm3
**Final energy**: -4.683 eV/atom
**D(E_F)**: 7.0 states/eV per cell

PmErGaCo | PBE | optimized geometry

```
PmErGaCo
1.0
4.971 0.000 0.000
2.486 4.305 0.000
2.486 1.435 4.059
Ga Er Co Pm
1 1 1 1
direct
0.250 0.250 0.250
0.000 0.000 0.000
0.750 0.750 0.750
0.500 0.500 0.500
```

**Crystal system**: cubic
**Space group**: No. 216
**Theoretical density**: 8.43 g/cm3
**Final energy**: -5.141 eV/atom
**Energy above the lowest structure with this stoichiometry**: 70 meV/atom
**D(E_F)**: 2.7 states/eV per cell

PmErGaCo | PBE | optimized geometry

```
PmErGaCo
1.0
-2.792 -1.854 2.410
1.881 -3.656 -0.634
4.413 1.762 2.932
Er Pm Ga Co
1 1 1 1
direct
0.862 0.500 0.723
0.147 0.000 0.295
0.561 0.500 0.122
0.430 0.000 0.860
```

**Crystal system**: orthorhombic
**Space group**: No. 38
**Theoretical density**: 8.22 g/cm3
**Final energy**: -5.211 eV/atom
**Energy above the lowest structure with this stoichiometry**: 0 meV/atom
**D(E_F)**: 4.1 states/eV per cell

ErGa3CoPt | PBE | optimized geometry

```
ErGa3CoPt
1.0
-2.650 -1.340 4.361
-0.721 -7.584 -2.769
4.875 2.505 3.732
Er Ga Co Pt
2 6 2 2
direct
0.750 0.297 0.593
0.250 0.703 0.407
0.500 0.243 0.000
0.250 0.170 0.341
0.000 0.243 0.000
0.000 0.757 0.000
0.500 0.757 0.000
0.750 0.830 0.659
0.250 0.947 0.894
0.750 0.053 0.106
0.250 0.412 0.823
0.750 0.588 0.177
```

**Crystal system**: orthorhombic
**Space group**: No. 63
**Theoretical density**: 9.33 g/cm3
**Final energy**: -4.890 eV/atom
**D(E_F)**: 6.1 states/eV per cell